Record 1
Below is a geometry-optimized BaZrSi structure, with properties calculated at the PBEsol level. Values from VASP.

Values from the calculation:
Symmetry: P3m1 (156)
Formation energy without anion corrections: 0.026 eV per atom

Cell and atoms, written as Quantum ESPRESSO input:
```
&SYSTEM
  ibrav = 0, nat = 3, ntyp = 3
/
ATOMIC_SPECIES
Ba 137.33 Ba.upf
Si 28.09 Si.upf
Zr 91.22 Zr.upf
CELL_PARAMETERS angstrom
4.589 0.000 0.000
-2.295 3.974 0.000
0.000 0.000 4.893
ATOMIC_POSITIONS crystal
Ba 0.000 0.000 0.010
Si 0.333 0.667 0.468
Zr 0.667 0.333 0.522
```

=====

Record 2
Below is a geometry-optimized BaZr3Si structure, with properties calculated at the PBEsol level. Values from VASP.

Values from the calculation:
Symmetry: Pm-3m (221)
Formation energy without anion corrections: 1.901 eV per atom

Cell and atoms, written as Quantum ESPRESSO input:
```
&SYSTEM
  ibrav = 0, nat = 5, ntyp = 3
/
ATOMIC_SPECIES
Si 28.09 Si.upf
Ba 137.33 Ba.upf
Zr 91.22 Zr.upf
CELL_PARAMETERS angstrom
5.143 0.000 0.000
0.000 5.143 0.000
0.000 0.000 5.143
ATOMIC_POSITIONS crystal
Si 0.500 0.500 0.500
Ba 0.000 0.000 0.000
Zr 0.000 0.500 0.000
Zr 0.000 0.000 0.500
Zr 0.500 0.000 0.000
```

=====

Record 3
Below is a geometry-optimized Ba2ZrSi structure, with properties calculated at the PBEsol level. Values from VASP.

Values from the calculation:
Symmetry: I-4m2 (119)
Formation energy without anion corrections: 0.362 eV per atom

Cell and atoms, written as Quantum ESPRESSO input:
```
&SYSTEM
  ibrav = 0, nat = 4, ntyp = 3
/
ATOMIC_SPECIES
Ba 137.33 Ba.upf
Si 28.09 Si.upf
Zr 91.22 Zr.upf
CELL_PARAMETERS angstrom
-4.516 -0.722 1.723
-1.145 -2.491 -4.046
4.247 -2.369 3.208
ATOMIC_POSITIONS crystal
Ba 0.000 0.000 0.000
Ba 0.750 0.250 0.500
Si 0.500 0.500 0.000
Zr 0.250 0.750 0.500
```

=====

Record 4
Below is a geometry-optimized BaZrSi2 structure, with properties calculated at the PBEsol level. Values from VASP.

Values from the calculation:
Symmetry: C2/m (12)
Formation energy without anion corrections: -0.371 eV per atom

Cell and atoms, written as Quantum ESPRESSO input:
```
&SYSTEM
  ibrav = 0, nat = 4, ntyp = 3
/
ATOMIC_SPECIES
Ba 137.33 Ba.upf
Si 28.09 Si.upf
Zr 91.22 Zr.upf
CELL_PARAMETERS angstrom
3.738 0.000 0.000
-1.869 4.560 0.058
0.000 -2.119 5.916
ATOMIC_POSITIONS crystal
Ba 0.500 0.000 0.000
Si 0.269 0.539 0.389
Si 0.731 0.461 0.611
Zr 0.000 0.000 0.500
```

=====

Record 5
Below is a geometry-optimized BaZrSi2 structure, with properties calculated at the PBEsol level. Values from VASP.

Values from the calculation:
Symmetry: Amm2 (38)
Formation energy without anion corrections: -0.420 eV per atom

Cell and atoms, written as Quantum ESPRESSO input:
```
&SYSTEM
  ibrav = 0, nat = 4, ntyp = 3
/
ATOMIC_SPECIES
Ba 137.33 Ba.upf
Si 28.09 Si.upf
Zr 91.22 Zr.upf
CELL_PARAMETERS angstrom
-1.781 0.033 -3.268
0.003 -4.025 -0.042
-5.818 1.975 3.191
ATOMIC_POSITIONS crystal
Ba 0.500 0.416 0.832
Si 0.000 0.785 0.571
Si 0.500 0.665 0.329
Zr 0.000 0.147 0.295
```

=====

Record 6
Below is a geometry-optimized Ba3Sm structure, with properties calculated at the PBEsol level. Values from VASP.

Values from the calculation:
Formation energy: 0.21 eV/atom
Symmetry: Pm-3m (221)

Cell and atoms, written as Quantum ESPRESSO input:
```
&SYSTEM
  ibrav = 0, nat = 4, ntyp = 2
/
ATOMIC_SPECIES
Ba 137.33 Ba.upf
Sm 150.36 Sm.upf
CELL_PARAMETERS angstrom
-4.768 -0.348 -3.174
3.138 -1.569 -4.542
-0.593 -5.509 1.494
ATOMIC_POSITIONS crystal
Ba 0.000 0.500 0.500
Ba 0.500 0.000 0.500
Ba 0.500 0.500 0.000
Sm 0.000 0.000 0.000
```

=====

Record 7
Below is a geometry-optimized Ba3Sn2 structure, with properties calculated at the PBEsol level. Values from VASP.

Values from the calculation:
Formation energy: -0.68 eV/atom
Symmetry: P4_32_12 (96)

Cell and atoms, written as Quantum ESPRESSO input:
```
&SYSTEM
  ibrav = 0, nat = 20, ntyp = 2
/
ATOMIC_SPECIES
Ba 137.33 Ba.upf
Sn 118.71 Sn.upf
CELL_PARAMETERS angstrom
6.574 0.000 0.000
0.000 6.574 0.000
0.000 0.000 17.738
ATOMIC_POSITIONS crystal
Ba 0.341 0.916 0.135
Ba 0.659 0.084 0.635
Ba 0.416 0.159 0.385
Ba 0.584 0.841 0.885
Ba 0.084 0.659 0.365
Ba 0.916 0.341 0.865
Ba 0.159 0.416 0.615
Ba 0.841 0.584 0.115
Ba 0.827 0.173 0.250
Ba 0.173 0.827 0.750
Ba 0.673 0.673 0.500
Ba 0.327 0.327 0.000
Sn 0.328 0.413 0.202
Sn 0.672 0.587 0.702
Sn 0.913 0.172 0.452
Sn 0.087 0.828 0.952
Sn 0.587 0.672 0.298
Sn 0.413 0.328 0.798
Sn 0.172 0.913 0.548
Sn 0.828 0.087 0.048
```

=====

Record 8
Below is a geometry-optimized BaSn5 structure, with properties calculated at the PBEsol level. Values from VASP.

Values from the calculation:
Formation energy: -0.34 eV/atom
Symmetry: P6/mmm (191)

Cell and atoms, written as Quantum ESPRESSO input:
```
&SYSTEM
  ibrav = 0, nat = 6, ntyp = 2
/
ATOMIC_SPECIES
Ba 137.33 Ba.upf
Sn 118.71 Sn.upf
CELL_PARAMETERS angstrom
5.333 0.000 0.000
-2.667 4.619 0.000
0.000 0.000 7.065
ATOMIC_POSITIONS crystal
Ba 0.000 0.000 0.500
Sn 0.667 0.333 0.210
Sn 0.000 0.000 0.000
Sn 0.667 0.333 0.790
Sn 0.333 0.667 0.790
Sn 0.333 0.667 0.210
```